No. 1
H2PtW: PBEsol geometry, meta-GGA SCAN.

Calculated values
Mass density: 16.76 g cm⁻³
SG: Fm-3m
Electronic total energy: -35.847 eV/atom

Lattice parameters (Å, degrees): 3.7654 3.7654 3.7654 60.00 60.00 60.00
With the nearest neighbours (Å) after each atom.
Element x y z (fractional)
H 0.2500 0.2500 0.2500  4 W 2.31, 4 Pt 2.31
H 0.7500 0.7500 0.7500  4 W 2.31, 4 Pt 2.31
Pt 0.0000 0.0000 0.0000  8 H 2.31
W 0.5000 0.5000 0.5000  8 H 2.31


No. 2
YW: PBEsol geometry, meta-GGA SCAN.

Calculated values
Mass density: 8.87 g cm⁻³
DFT formation energy: 0.758 eV per atom
SG: P6_3/mmc

Lattice parameters (Å, degrees): 4.9697 4.9697 4.7756 90.00 90.00 120.00
With the nearest neighbours (Å) after each atom.
Element x y z (fractional)
Y 0.3333 0.6667 0.2500  6 W 3.11
Y 0.6667 0.3333 0.7500  6 W 3.11
W 0.0000 0.0000 0.0000  2 W 2.39
W 0.0000 0.0000 0.5000  2 W 2.39